Compound: SrCoCl3
Source: Alexandria
Functional: PBE-GGA
Structure: optimized geometry

a = 4.822 Å, b = 4.822 Å, c = 4.822 Å
α = 90.00°, β = 90.00°, γ = 90.00°
Site moments in Bohr magnetons follow the coordinates.
Atoms (fractional coordinates):
Sr 0.500 0.500 0.500  -0.01
Cl 0.000 0.500 0.000  0.05
Cl 0.000 0.000 0.500  0.03
Cl 0.500 0.000 0.000  0.04
Co 0.000 0.000 0.000  1.87

Values from the calculation:
Energy relative to the lowest polymorph listed for this composition ... 0.000 eV per atom
Energy relative to the elements, uncorrected ... -1.236 eV/atom
Size of the total moment ... 0.400 μB/atom
Volume ... 22.43 Å³ per atom
Mass density ... 3.7 g cm⁻³

***

Compound: Sr2Co2Cl
Source: Alexandria
Functional: PBE-GGA
Structure: optimized geometry

a = 8.263 Å, b = 8.263 Å, c = 3.812 Å
α = 90.00°, β = 90.00°, γ = 90.00°
Site moments in Bohr magnetons follow the coordinates.
Atoms (fractional coordinates):
Co 0.909 0.591 0.000  1.63
Co 0.091 0.409 0.000  1.63
Cl 0.500 0.500 0.000  0.03
Co 0.591 0.091 0.000  1.63
Cl 0.000 0.000 0.000  0.03
Sr 0.814 0.314 0.500  -0.04
Sr 0.314 0.186 0.500  -0.04
Sr 0.686 0.814 0.500  -0.04
Co 0.409 0.909 0.000  1.63
Sr 0.186 0.686 0.500  -0.04

Values from the calculation:
Energy relative to the lowest polymorph listed for this composition ... 0.000 eV per atom
Energy relative to the elements, uncorrected ... -0.047 eV/atom
Size of the total moment ... 0.630 μB/atom
Volume ... 26.03 Å³ per atom
Mass density ... 4.2 g cm⁻³

***

Compound: SrCo4Cl
Source: Alexandria
Functional: PBE-GGA
Structure: optimized geometry

a = 5.150 Å, b = 5.150 Å, c = 5.150 Å
α = 60.00°, β = 60.00°, γ = 60.00°
Site moments in Bohr magnetons follow the coordinates.
Atoms (fractional coordinates):
Cl 0.000 0.000 0.000  0.11
Co 0.375 0.876 0.375  1.79
Co 0.876 0.375 0.375  1.79
Co 0.375 0.375 0.375  1.79
Sr 0.750 0.750 0.750  -0.11
Co 0.375 0.375 0.876  1.79

Values from the calculation:
Energy relative to the elements, uncorrected ... 0.393 eV/atom
Size of the total moment ... 1.152 μB/atom
Volume ... 16.10 Å³ per atom
Mass density ... 6.2 g cm⁻³

***

Compound: Sr2CoCl
Source: Alexandria
Functional: PBE-GGA
Structure: optimized geometry

a = 4.113 Å, b = 4.113 Å, c = 8.355 Å
α = 75.73°, β = 75.73°, γ = 59.87°
Site moments in Bohr magnetons follow the coordinates.
Atoms (fractional coordinates):
Co 0.750 0.750 0.750  1.25
Sr 0.493 0.493 0.522  -0.06
Cl 0.250 0.250 0.250  -0.01
Sr 0.007 0.007 0.978  -0.06

Values from the calculation:
Energy relative to the lowest polymorph listed for this composition ... 0.000 eV per atom
Energy relative to the elements, uncorrected ... -0.550 eV/atom
Size of the total moment ... 0.190 μB/atom
Volume ... 29.31 Å³ per atom
Mass density ... 3.8 g cm⁻³

***

Compound: Sr2CoCl
Source: Alexandria
Functional: PBE-GGA
Structure: optimized geometry

a = 5.914 Å, b = 5.914 Å, c = 5.914 Å
α = 137.41°, β = 107.43°, γ = 87.95°
Site moments in Bohr magnetons follow the coordinates.
Atoms (fractional coordinates):
Sr 0.997 0.997 0.000  -0.07
Sr 0.503 0.503 0.000  -0.07
Co 0.250 0.750 0.500  1.47
Cl 0.750 0.250 0.500  -0.01

Values from the calculation:
Energy relative to the lowest polymorph listed for this composition ... 0.299 eV per atom
Energy relative to the elements, uncorrected ... -0.250 eV/atom
Size of the total moment ... 0.203 μB/atom
Volume ... 31.99 Å³ per atom
Mass density ... 3.5 g cm⁻³

***

Compound: Sr2CoCl
Source: Alexandria
Functional: PBE-GGA
Structure: optimized geometry

a = 5.333 Å, b = 5.333 Å, c = 5.333 Å
α = 60.00°, β = 60.00°, γ = 60.00°
Site moments in Bohr magnetons follow the coordinates.
Atoms (fractional coordinates):
Sr 0.250 0.250 0.250  -0.09
Sr 0.750 0.750 0.750  -0.09
Cl 0.000 0.000 0.000  0.00
Co 0.500 0.500 0.500  1.07

Values from the calculation:
Energy relative to the lowest polymorph listed for this composition ... 0.290 eV per atom
Energy relative to the elements, uncorrected ... -0.260 eV/atom
Size of the total moment ... 0.092 μB/atom
Volume ... 26.81 Å³ per atom
Mass density ... 4.2 g cm⁻³

***

Compound: Sr3CoCl
Source: Alexandria
Functional: PBE-GGA
Structure: optimized geometry

a = 5.711 Å, b = 5.711 Å, c = 5.711 Å
α = 90.00°, β = 90.00°, γ = 90.00°
Atoms (fractional coordinates):
Cl 0.500 0.500 0.500
Sr 0.000 0.000 0.500
Co 0.000 0.000 0.000
Sr 0.000 0.500 0.000
Sr 0.500 0.000 0.000

Values from the calculation:
Energy relative to the lowest polymorph listed for this composition ... 0.000 eV per atom
Energy relative to the elements, uncorrected ... -0.178 eV/atom
Size of the total moment ... 0.001 μB/atom
Volume ... 37.26 Å³ per atom
Mass density ... 3.2 g cm⁻³

***

Compound: SrCoCl5
Source: Alexandria
Functional: PBE-GGA
Structure: optimized geometry

a = 7.353 Å, b = 7.354 Å, c = 10.627 Å
α = 112.06°, β = 112.05°, γ = 84.92°
Site moments in Bohr magnetons follow the coordinates.
Atoms (fractional coordinates):
Cl 0.410 0.090 0.250  0.03
Co 0.091 0.409 0.750  2.67
Cl 0.142 0.724 0.812  0.22
Cl 0.172 0.247 0.561  0.21
Cl 0.590 0.910 0.750  0.03
Cl 0.253 0.328 0.939  0.21
Cl 0.224 0.642 0.312  0.22
Sr 0.500 0.000 0.500  0.01
Cl 0.858 0.276 0.188  0.22
Cl 0.776 0.358 0.688  0.22
Cl 0.828 0.753 0.439  0.21
Sr 0.500 0.000 0.000  0.01
Co 0.909 0.591 0.250  2.67
Cl 0.747 0.672 0.061  0.21

Values from the calculation:
Energy relative to the elements, uncorrected ... -1.286 eV/atom
Size of the total moment ... 0.571 μB/atom
Volume ... 35.19 Å³ per atom
Mass density ... 2.2 g cm⁻³